1.
# MgMoSe

Crystalline MgMoSe at its relaxed geometry (GGA-PBE, Alexandria via LeMat-Bulk).

Unit cell a=3.207 b=3.207 c=6.426 alpha=90.00 beta=90.00 gamma=120.00
Fractional coordinates of all 3 atoms:
Mg 0.000 0.000 0.000
Mo 0.667 0.333 0.345
Se 0.333 0.667 0.606

Computed properties:
Total moment in μB per atom: 0.0000
DFT total energy in eV/atom: -5.471
Formation energy without anion corrections in meV per atom: -167
Space group: P3m1, No. 156

2.
# MgMoSe2

Crystalline MgMoSe2 at its relaxed geometry (GGA-PBE, Alexandria via LeMat-Bulk).

Unit cell a=6.923 b=6.923 c=6.923 alpha=127.80 beta=127.80 gamma=76.95
Fractional coordinates of all 8 atoms:
Mg 0.000 0.000 0.000
Mg 0.750 0.250 0.500
Mo 0.250 0.750 0.500
Mo 0.500 0.500 0.000
Se 0.136 0.625 0.011
Se 0.375 0.386 0.511
Se 0.614 0.125 0.989
Se 0.875 0.864 0.489

Computed properties:
Total moment in μB per atom: 0.4212
DFT total energy in eV/atom: -5.018
Formation energy without anion corrections in meV per atom: -169
Space group: I-42d, No. 122

3.
# Mg2MoSe

Crystalline Mg2MoSe at its relaxed geometry (GGA-PBE, Alexandria via LeMat-Bulk).

Unit cell a=6.089 b=6.089 c=6.089 alpha=101.31 beta=101.31 gamma=127.43
Fractional coordinates of all 8 atoms:
Mg 0.090 0.625 0.965
Mg 0.375 0.340 0.465
Mg 0.660 0.125 0.035
Mg 0.875 0.910 0.535
Mo 0.250 0.750 0.500
Mo 0.500 0.500 0.000
Se 0.000 0.000 0.000
Se 0.750 0.250 0.500

Computed properties:
Total moment in μB per atom: 0.5003
DFT total energy in eV/atom: -4.013
Formation energy without anion corrections in meV per atom: 364
Space group: I-42d, No. 122

4.
# Mg2MoSe

Crystalline Mg2MoSe at its relaxed geometry (GGA-PBE, Alexandria via LeMat-Bulk).

Unit cell a=4.383 b=5.570 c=5.570 alpha=33.67 beta=90.00 gamma=90.00
Fractional coordinates of all 4 atoms:
Mg 0.000 0.000 0.000
Mg 0.500 0.345 0.345
Mo 0.500 0.612 0.612
Se 0.000 0.728 0.728

Computed properties:
Total moment in μB per atom: 0.0000
DFT total energy in eV/atom: -4.350
Formation energy without anion corrections in meV per atom: 26
Space group: Amm2, No. 38

5.
# MgMoSe2

Crystalline MgMoSe2 at its relaxed geometry (GGA-PBE, Alexandria via LeMat-Bulk).

Unit cell a=3.238 b=3.238 c=6.759 alpha=90.00 beta=90.00 gamma=90.00
Fractional coordinates of all 4 atoms:
Mg 0.000 0.000 0.000
Mo 0.000 0.000 0.500
Se 0.500 0.500 0.274
Se 0.500 0.500 0.726

Computed properties:
Total moment in μB per atom: 0.0002
DFT total energy in eV/atom: -5.088
Formation energy without anion corrections in meV per atom: -239
Space group: P4/mmm, No. 123

6.
# MgMo6Se8

Crystalline MgMo6Se8 at its relaxed geometry (GGA-PBE, Alexandria via LeMat-Bulk).

Unit cell a=6.829 b=6.840 c=13.743 alpha=95.35 beta=90.30 gamma=95.51
Fractional coordinates of all 30 atoms:
Mg 0.087 0.364 0.251
Mg 0.913 0.636 0.749
Mo 0.236 0.040 0.460
Mo 0.237 0.039 0.961
Mo 0.408 0.729 0.521
Mo 0.410 0.736 0.024
Mo 0.448 0.087 0.133
Mo 0.448 0.090 0.631
Mo 0.552 0.910 0.369
Mo 0.552 0.913 0.867
Mo 0.590 0.264 0.976
Mo 0.592 0.271 0.479
Mo 0.763 0.961 0.039
Mo 0.764 0.960 0.540
Se 0.114 0.877 0.118
Se 0.116 0.870 0.617
Se 0.213 0.701 0.360
Se 0.227 0.695 0.860
Se 0.265 0.371 0.068
Se 0.268 0.367 0.566
Se 0.387 0.220 0.818
Se 0.396 0.226 0.320
Se 0.604 0.774 0.680
Se 0.613 0.780 0.182
Se 0.732 0.633 0.434
Se 0.735 0.629 0.932
Se 0.773 0.305 0.140
Se 0.787 0.299 0.640
Se 0.884 0.130 0.383
Se 0.886 0.123 0.882

Computed properties:
Total moment in μB per atom: 0.0000
DFT total energy in eV/atom: -6.892
Formation energy without anion corrections in meV per atom: -595
Space group: P-1, No. 2

7.
# MgMoSe2

Crystalline MgMoSe2 at its relaxed geometry (GGA-PBE, Alexandria via LeMat-Bulk).

Unit cell a=3.448 b=3.448 c=6.906 alpha=90.00 beta=90.00 gamma=90.00
Fractional coordinates of all 4 atoms:
Mg 0.000 0.000 0.000
Mo 0.500 0.500 0.261
Se 0.000 0.000 0.409
Se 0.500 0.500 0.873

Computed properties:
Total moment in μB per atom: 0.0000
DFT total energy in eV/atom: -5.203
Formation energy without anion corrections in meV per atom: -354
Space group: P4mm, No. 99

8.
# MgMoSe2

Crystalline MgMoSe2 at its relaxed geometry (GGA-PBE, Alexandria via LeMat-Bulk).

Unit cell a=3.304 b=3.346 c=7.205 alpha=90.00 beta=90.00 gamma=90.00
Fractional coordinates of all 4 atoms:
Mg 0.000 0.000 0.000
Mo 0.000 0.500 0.500
Se 0.500 0.500 0.233
Se 0.500 0.500 0.767

Computed properties:
Total moment in μB per atom: 0.0003
DFT total energy in eV/atom: -4.965
Formation energy without anion corrections in meV per atom: -116
Space group: Pmmm, No. 47

9.
# MgMo3Se

Crystalline MgMo3Se at its relaxed geometry (GGA-PBE, Alexandria via LeMat-Bulk).

Unit cell a=4.639 b=4.639 c=4.639 alpha=90.00 beta=90.00 gamma=90.00
Fractional coordinates of all 5 atoms:
Mg 0.000 0.000 0.000
Mo 0.000 0.500 0.500
Mo 0.500 0.000 0.500
Mo 0.500 0.500 0.000
Se 0.500 0.500 0.500

Computed properties:
Total moment in μB per atom: 0.0000
DFT total energy in eV/atom: -6.572
Formation energy without anion corrections in meV per atom: 942
Space group: Pm-3m, No. 221

10.
# MgMoSe2

Crystalline MgMoSe2 at its relaxed geometry (GGA-PBE, Alexandria via LeMat-Bulk).

Unit cell a=4.777 b=4.777 c=4.777 alpha=60.00 beta=60.00 gamma=60.00
Fractional coordinates of all 4 atoms:
Mg 0.000 0.000 0.000
Mo 0.750 0.750 0.750
Se 0.250 0.250 0.250
Se 0.500 0.500 0.500

Computed properties:
Total moment in μB per atom: 0.6032
DFT total energy in eV/atom: -4.283
Formation energy without anion corrections in meV per atom: 566
Space group: F-43m, No. 216

11.
# MgMoSe2

Crystalline MgMoSe2 at its relaxed geometry (GGA-PBE, Alexandria via LeMat-Bulk).

Unit cell a=4.605 b=4.605 c=6.071 alpha=104.68 beta=104.68 gamma=42.46
Fractional coordinates of all 4 atoms:
Mg 0.000 0.000 0.000
Mo 0.047 0.047 0.485
Se 0.326 0.326 0.412
Se 0.677 0.677 0.812

Computed properties:
Total moment in μB per atom: 0.0000
DFT total energy in eV/atom: -5.196
Formation energy without anion corrections in meV per atom: -348
Space group: Cm, No. 8

12.
# MgMo6Se8

Crystalline MgMo6Se8 at its relaxed geometry (GGA-PBE, Alexandria via LeMat-Bulk).

Unit cell a=6.823 b=6.867 c=13.677 alpha=92.98 beta=92.65 gamma=95.53
Fractional coordinates of all 30 atoms:
Mg 0.000 0.000 0.000
Mg 0.221 0.855 0.458
Mo 0.353 0.548 0.167
Mo 0.378 0.516 0.670
Mo 0.521 0.242 0.233
Mo 0.559 0.206 0.736
Mo 0.570 0.587 0.342
Mo 0.601 0.560 0.842
Mo 0.666 0.421 0.076
Mo 0.691 0.393 0.581
Mo 0.704 0.769 0.183
Mo 0.739 0.746 0.689
Mo 0.879 0.468 0.252
Mo 0.916 0.430 0.753
Se 0.024 0.610 0.592
Se 0.236 0.381 0.327
Se 0.271 0.339 0.825
Se 0.329 0.216 0.066
Se 0.351 0.183 0.573
Se 0.383 0.873 0.273
Se 0.421 0.840 0.770
Se 0.504 0.726 0.018
Se 0.533 0.711 0.528
Se 0.732 0.275 0.394
Se 0.768 0.247 0.898
Se 0.841 0.141 0.153
Se 0.874 0.112 0.646
Se 0.895 0.807 0.349
Se 0.951 0.762 0.846
Se 0.996 0.638 0.090

Computed properties:
Total moment in μB per atom: 0.0000
DFT total energy in eV/atom: -6.891
Formation energy without anion corrections in meV per atom: -594
Space group: P1, No. 1

Question: The lowest DFT total energy belongs to which entry?
Answer: number 6

Question: Which of these has the lowest formation energy without anion corrections?
Answer: number 6

Question: Look up the formation energy without anion corrections of the first one.
Answer: -167 meV per atom

Question: Which formula does entry 1 have?
Answer: MgMoSe